1.
ScTlPb2, relaxed, DFT PBE-GGA; DFT formation energy = -8 kJ per mole of atoms; VASP energy = -4.11 eV/atom
1.0
-2.660 -2.278 -0.101
2.614 -3.230 4.039
-0.655 0.464 6.785
Sc Pb Tl
1 2 1
direct
0.500 0.500 0.500 Sc
0.500 0.500 0.000 Pb
0.000 0.000 0.000 Pb
0.000 0.000 0.500 Tl

***

2.
ScTlPb, relaxed, DFT PBE-GGA; DFT formation energy = -16 kJ per mole of atoms; E above lowest polymorph = 35 meV/atom; VASP energy = -4.30 eV/atom
1.0
6.720 0.000 0.000
0.000 7.200 0.000
0.000 0.000 7.178
Tl Pb Sc
4 4 4
direct
0.250 0.792 0.143 Tl
0.750 0.208 0.143 Tl
0.250 0.708 0.643 Tl
0.750 0.292 0.643 Tl
0.750 0.722 0.069 Pb
0.250 0.278 0.069 Pb
0.750 0.778 0.569 Pb
0.250 0.222 0.569 Pb
0.000 0.500 0.348 Sc
0.500 0.500 0.348 Sc
0.500 0.000 0.848 Sc
0.000 0.000 0.848 Sc

***

3.
ZrScTlPb, relaxed, DFT PBE-GGA; DFT formation energy = -6 kJ per mole of atoms; VASP energy = -5.30 eV/atom
1.0
-2.147 0.189 4.660
-0.698 -4.322 2.682
2.843 -0.917 4.176
Sc Pb Zr Tl
1 1 1 1
direct
0.000 0.000 0.000 Sc
0.250 0.250 0.250 Pb
0.500 0.500 0.500 Zr
0.750 0.750 0.750 Tl

***

4.
Tm5Sc2Pb5, relaxed, DFT PBE-GGA; DFT formation energy = -33 kJ per mole of atoms; E above lowest polymorph = 0 meV/atom; VASP energy = -4.81 eV/atom
1.0
4.665 0.000 1.148
2.029 8.410 1.809
0.367 0.841 8.562
Pb Tm Sc
5 5 2
direct
0.000 0.000 0.000 Pb
0.241 0.695 0.822 Pb
0.074 0.240 0.612 Pb
0.759 0.305 0.178 Pb
0.926 0.760 0.388 Pb
0.311 0.044 0.334 Tm
0.580 0.753 0.087 Tm
0.689 0.956 0.666 Tm
0.500 0.500 0.500 Tm
0.420 0.247 0.913 Tm
0.845 0.517 0.793 Sc
0.155 0.483 0.207 Sc

***

5.
Tm8ScPb2, relaxed, DFT PBE-GGA; DFT formation energy = -5 kJ per mole of atoms; VASP energy = -4.55 eV/atom
1.0
-5.088 -1.650 -1.537
0.024 -1.707 8.516
0.228 8.215 -2.809
Tm Pb Sc
8 2 1
direct
0.500 0.790 0.210 Tm
0.301 0.603 0.603 Tm
0.120 0.320 0.098 Tm
0.880 0.680 0.902 Tm
0.120 0.098 0.320 Tm
0.699 0.397 0.397 Tm
0.500 0.210 0.790 Tm
0.880 0.902 0.680 Tm
0.000 0.305 0.695 Pb
0.000 0.695 0.305 Pb
0.500 0.000 0.000 Sc

***

6.
Tm12Sc5Pb2, relaxed, DFT PBE-GGA; DFT formation energy = 0 kJ per mole of atoms; VASP energy = -4.88 eV/atom
1.0
9.259 0.000 0.000
-4.630 7.194 1.182
0.000 -1.435 7.948
Pb Tm Sc
2 12 5
direct
0.692 0.000 0.000 Pb
0.308 0.000 0.000 Pb
0.447 0.893 0.681 Tm
0.827 0.247 0.645 Tm
0.911 0.822 0.122 Tm
0.089 0.178 0.878 Tm
0.173 0.753 0.355 Tm
0.421 0.247 0.645 Tm
0.663 0.693 0.766 Tm
0.553 0.107 0.319 Tm
0.337 0.307 0.234 Tm
0.970 0.307 0.234 Tm
0.030 0.693 0.766 Tm
0.579 0.753 0.355 Tm
0.684 0.368 0.003 Sc
0.236 0.473 0.580 Sc
0.000 0.000 0.500 Sc
0.764 0.527 0.420 Sc
0.316 0.632 0.997 Sc

***

Q: The highest VASP energy belongs to which entry?
A: ScTlPb2

***

Please write out number 1 again, unchanged.
ScTlPb2, relaxed, DFT PBE-GGA; DFT formation energy = -8 kJ per mole of atoms; VASP energy = -4.11 eV/atom
1.0
-2.660 -2.278 -0.101
2.614 -3.230 4.039
-0.655 0.464 6.785
Sc Pb Tl
1 2 1
direct
0.500 0.500 0.500 Sc
0.500 0.500 0.000 Pb
0.000 0.000 0.000 Pb
0.000 0.000 0.500 Tl

***

Q: What is the formula in the fifth record?
A: Tm8ScPb2

***

Q: VASP energy of number 6 (Tm12Sc5Pb2)?
A: -4.88 eV/atom